# 1
Density functional theory data (GGA-PBE) for Sr3TiP3 after structural relaxation.

For the formation energy from the elements, the calculation gives -1067 meV/atom. The calculation puts the magnetization at 0.0 Bohr magnetons per cell. The value obtained for the calculated total energy is -5.234 eV per atom.

It has space group Cmce (No. 64), with a = 18.5550 Å, b = 6.6255 Å, c = 12.4861 Å, α = 90.00°, β = 90.00° and γ = 90.00°. The asymmetric unit holds Sr at (0.0000, 0.1624, 0.1592), Sr at (0.1756, 0.1773, 0.8661), Ti at (0.0833, 0.0000, 0.5000), P at (0.0000, 0.2175, 0.4024) and P at (0.1581, 0.1998, 0.6185).

***

# 2
Density functional theory data (GGA-PBE) for La2Nd after structural relaxation.

For the formation energy from the elements, the calculation gives 16 meV/atom. The calculation puts the magnetization at 0.0 Bohr magnetons per cell. The value obtained for the calculated total energy is -4.858 eV per atom. Its relative energy among the computed polymorphs is 0 meV/atom.

It has space group R-3m (No. 166, hexagonal axes), with a = 3.7255 Å, b = 3.7255 Å, c = 54.6463 Å, α = 90.00°, β = 90.00° and γ = 120.00°. The asymmetric unit holds La at (0.0000, 0.0000, 0.1386), La at (0.0000, 0.0000, 0.3049) and Nd at (0.0000, 0.0000, 0.4169).

***

# 3
Density functional theory data (GGA-PBE) for BaTl2Ru after structural relaxation.

For the formation energy from the elements, the calculation gives 213 meV/atom. The calculation puts the magnetization at 0.0 Bohr magnetons per cell. The value obtained for the calculated total energy is -3.770 eV per atom.

It has space group Immm (No. 71), with a = 3.5122 Å, b = 5.7434 Å, c = 11.1094 Å, α = 90.00°, β = 90.00° and γ = 90.00°. The asymmetric unit holds Ba at (0.0000, 0.0000, 0.0000), Tl at (0.0000, 0.5000, 0.1994) and Ru at (0.0000, 0.0000, 0.5000).

***

# 4
Density functional theory data (GGA-PBE) for ZrTi5Os4 after structural relaxation.

For the formation energy from the elements, the calculation gives -563 meV/atom. The calculation puts the magnetization at 0.0 Bohr magnetons per cell. The value obtained for the calculated total energy is -9.857 eV per atom.

It has space group P4/mmm (No. 123), with a = 3.0995 Å, b = 3.0995 Å, c = 16.3725 Å, α = 90.00°, β = 90.00° and γ = 90.00°. The asymmetric unit holds Zr at (0.0000, 0.0000, 0.0000), Ti at (0.5000, 0.5000, 0.1238), Ti at (0.5000, 0.5000, 0.3112), Ti at (0.5000, 0.5000, 0.5000), Os at (0.0000, 0.0000, 0.2157) and Os at (0.0000, 0.0000, 0.4056).

***

# 5
Density functional theory data (GGA-PBE) for CdHPd after structural relaxation.

The calculation puts the magnetization at 0.0 Bohr magnetons per cell. The value obtained for the calculated total energy is -3.265 eV per atom.

It has space group C2/m (No. 12), with a = 10.6968 Å, b = 3.1177 Å, c = 5.7629 Å, α = 90.00°, β = 122.23° and γ = 90.00°. The asymmetric unit holds Cd at (0.2170, 0.0000, 0.2366), H at (0.0687, 0.0000, 0.7264) and Pd at (0.0099, 0.5000, 0.7549).

***

# 6
Density functional theory data (GGA-PBE) for Na3NpV2Se6 after structural relaxation.

The calculation puts the magnetization at 16.0 Bohr magnetons per cell. The value obtained for the calculated total energy is -5.676 eV per atom. The formation energy without anion corrections comes out at -1006 meV per atom.

It has space group C2/m (No. 12), with a = 6.7166 Å, b = 11.6409 Å, c = 7.3497 Å, α = 90.00°, β = 107.93° and γ = 90.00°. The asymmetric unit holds Na at (0.0000, 0.0000, 0.0000), Na at (0.0000, 0.3390, 0.0000), Np at (0.0000, 0.5000, 0.5000), V at (0.0000, 0.1676, 0.5000), Se at (0.2141, 0.0000, 0.7131) and Se at (0.2498, 0.1785, 0.2861).

***

Repeat the first record exactly.
Density functional theory data (GGA-PBE) for Sr3TiP3 after structural relaxation.

For the formation energy from the elements, the calculation gives -1067 meV/atom. The calculation puts the magnetization at 0.0 Bohr magnetons per cell. The value obtained for the calculated total energy is -5.234 eV per atom.

It has space group Cmce (No. 64), with a = 18.5550 Å, b = 6.6255 Å, c = 12.4861 Å, α = 90.00°, β = 90.00° and γ = 90.00°. The asymmetric unit holds Sr at (0.0000, 0.1624, 0.1592), Sr at (0.1756, 0.1773, 0.8661), Ti at (0.0833, 0.0000, 0.5000), P at (0.0000, 0.2175, 0.4024) and P at (0.1581, 0.1998, 0.6185).